A relaxed structure of Tb2WO6. Source: the Alexandria database, functional GGA-PBEsol.

Unit cell a=5.5538 b=5.3521 c=8.1236 alpha=90.00 beta=96.37 gamma=90.00
With the nearest neighbours (Å) after each atom.
Space group P2_1 (No. 4)
One atom of each set of equivalent atoms:
Tb1 0.0157 0.0000 0.1371 (multiplicity 2)  6 O 2.22-2.38
Tb2 0.4823 0.9444 0.8637 (multiplicity 2)  6 O 2.22-2.47
W1 0.2458 0.5439 0.4796 (multiplicity 2)  4 O 1.81-1.84
O1 0.0227 0.7847 0.4132 (multiplicity 2)  1 W 1.83
O2 0.2009 0.3160 0.3090 (multiplicity 2)  1 W 1.84
O3 0.2495 0.7246 0.0269 (multiplicity 2)  4 Tb 2.22-2.28
O4 0.2509 0.2184 0.9768 (multiplicity 2)  4 Tb 2.22-2.27
O5 0.2988 0.6166 0.7013 (multiplicity 2)  1 W 1.83
O6 0.4879 0.1850 0.5900 (multiplicity 2)  1 W 1.81

- Final energy: -9.1654 eV per atom
- Total moment: 0.00 μB per formula unit
- Formation energy from raw total energies: -3.0183 eV/atom
- Crystal system: monoclinic
- Polymorph energy (0 for the lowest one): 72 meV per atom
- Theoretical density: 8.27 g/cm3